1.
DFT (PBE) results for an optimized crystal structure of Pr7Tl3O2.

a b c (Å): 13.0067 13.0067 4.9254
angles (deg): 90.00 90.00 157.49
With the nearest neighbours (Å) after each atom.
Fractional positions:
Pr: 0.0000 0.0000 0.0000  2 O 2.56
Pr: 0.0953 0.9047 0.5000  2 O 2.47
Pr: 0.2011 0.7989 0.0000  1 O 2.57
Pr: 0.3974 0.6026 0.0000  2 O 2.54
Pr: 0.6026 0.3974 0.0000  2 O 2.54
Pr: 0.7989 0.2011 0.0000  1 O 2.57
Pr: 0.9047 0.0953 0.5000  2 O 2.47
Tl: 0.3066 0.6934 0.5000  10 Pr 3.38-3.65
Tl: 0.5000 0.5000 0.5000  12 Pr 3.51-3.59
Tl: 0.6934 0.3066 0.5000  10 Pr 3.38-3.65
O: 0.1002 0.8998 0.0000  6 Pr 2.47-2.57
O: 0.8998 0.1002 0.0000  6 Pr 2.47-2.57

DOS at the Fermi energy   5.82 states/eV per cell
Spin magnetization   0.00 μB per cell
DFT total energy   -5.349 eV per atom
Energy relative to the elements, uncorrected   -1.143 eV/atom


2.
DFT (PBE) results for an optimized crystal structure of LiTi2Te4.

a b c (Å): 8.0463 8.0463 6.6324
angles (deg): 113.99 113.99 27.51
With the nearest neighbours (Å) after each atom.
Fractional positions:
Li: 0.0000 0.0000 0.0000  6 Te 2.90
Ti: 0.2495 0.2495 0.2610  6 Te 2.78-2.81
Ti: 0.7505 0.7505 0.7390  6 Te 2.78-2.81
Te: 0.1272 0.1272 0.4668  3 Ti 2.78, 1 Li 2.90
Te: 0.3678 0.3678 0.0371  3 Ti 2.81, 2 Li 2.90
Te: 0.6322 0.6322 0.9629  3 Ti 2.81, 2 Li 2.90
Te: 0.8728 0.8728 0.5332  3 Ti 2.78, 1 Li 2.90

DOS at the Fermi energy   3.70 states/eV per cell
Energy relative to the lowest polymorph listed for this composition   0.000 eV/atom
Spin magnetization   0.00 μB per cell
DFT total energy   -5.108 eV per atom
Energy relative to the elements, uncorrected   -0.784 eV/atom